This record from the Alexandria database describes Li2LaSc after structural relaxation. The functional is PBE-GGA.

```
Li2LaSc
1.0
-0.503 -4.376 -2.828
-4.674 -2.318 -0.425
-2.571 0.111 -4.558
Li La Sc
2 1 1
direct
0.750 0.750 0.750
0.250 0.250 0.250
0.500 0.500 0.500
0.000 0.000 0.000
```

This record from the Alexandria database describes CsNaMg after structural relaxation. The functional is PBE-GGA.

```
CsNaMg
1.0
-4.284 -1.640 3.299
-3.511 -6.540 -3.009
4.101 -6.765 2.019
Cs Mg Na
2 2 2
direct
0.288 0.564 0.584
0.072 0.994 0.997
0.581 0.982 0.619
0.988 0.167 0.458
0.429 0.283 0.205
0.783 0.573 0.028
```

no.,energy relative to the elements (kJ/mol of atoms),excess energy over the best structure of this formula in the dataset (eV/f.u.)
1,18.3,0.362
2,14.9,0.124